The following is a DFT calculation (GGA-PBEsol) of a relaxed TaCdTeN2 crystal.

The structure in extended XYZ format:
```
5
Lattice="-3.5881 -0.1578 1.8185 -1.7692 -0.6860 -3.5504 0.6445 -5.6887 0.7780" Properties=species:S:1:pos:R:3 pbc="T T T"
Cd -2.3564 -3.2663 -0.4770
N -0.8846 -0.3430 -1.7752
N -1.7940 -0.0789 0.9093
Te 0.3223 -2.8443 0.3890
Ta 0.0000 0.0000 0.0000
```

Properties
Final energy (eV per formula unit): -33.8
Formation energy (no corrections) (eV/atom): 0.111